NaCa2PrSe4 PBE optimized geometry; E_form (uncorrected) = -1.828 eV/atom
1.0
7.3140 0.0000 0.0000
0.0000 4.2720 0.0000
-2.3533 0.0000 6.9433
Na Ca Pr Se
1 2 1 4
Cartesian
0.0000 0.0000 0.0000
-1.1767 2.1360 3.4716
2.4803 0.0000 3.4716
3.6570 2.1360 0.0000
0.0760 0.0000 5.2032
1.2819 2.1360 1.7840
3.6788 2.1360 5.1593
4.8847 0.0000 1.7401


AgP2Cl PBE optimized geometry; E_form (uncorrected) = 0.753 eV/atom
1.0
5.0239 0.0000 0.0000
0.0000 5.0239 0.0000
0.0000 0.0000 2.7975
Ag P Cl
1 2 1
Cartesian
0.0000 0.0000 0.0000
0.0000 2.5119 1.3987
2.5119 0.0000 1.3987
2.5119 2.5119 0.0000


Cs2PrTi2O7 PBE optimized geometry; E_form (uncorrected) = -2.601 eV/atom
1.0
-1.9851 1.9851 12.3116
1.9851 -1.9851 12.3116
1.9851 1.9851 -12.3116
Cs Pr Ti O
2 1 2 7
Cartesian
0.0000 0.0000 4.5759
0.0000 0.0000 20.0474
0.0000 0.0000 0.0000
0.0000 0.0000 10.2327
0.0000 0.0000 14.3905
1.9851 0.0000 1.7476
0.0000 0.0000 8.4439
1.9851 0.0000 10.5640
0.0000 0.0000 12.3116
0.0000 1.9851 1.7476
0.0000 0.0000 16.1793
0.0000 1.9851 10.5640


Rb4AgF7 PBE optimized geometry; E_form (uncorrected) = -2.084 eV/atom
1.0
7.3400 -2.1595 0.0000
7.3400 2.1595 0.0000
-6.6656 0.0000 8.4713
Rb Ag F
4 1 7
Cartesian
-0.4045 0.0000 2.3085
-2.3124 0.0000 7.1545
10.3267 0.0000 1.3167
8.4188 0.0000 6.1628
4.0072 0.0000 4.2356
-3.3328 0.0000 4.2356
1.8380 0.0000 0.1637
-0.4351 0.0000 5.2322
4.7250 0.0000 2.3575
3.2893 0.0000 6.1138
8.4495 0.0000 3.2390
6.1763 0.0000 8.3076


IrPb2Se PBE optimized geometry; E_form (uncorrected) = 0.180 eV/atom
1.0
-1.7319 2.0515 7.1117
1.7319 -2.0515 7.1117
1.7319 2.0515 -7.1117
Ir Pb Se
1 2 1
Cartesian
0.0000 0.0000 0.0000
1.7319 0.0000 2.3398
0.0000 2.0515 4.7718
0.0000 0.0000 7.1117


Rb2UPt2S4 PBE optimized geometry; E_form (uncorrected) = -0.963 eV/atom
1.0
7.4270 -1.9392 0.0000
7.4270 1.9392 0.0000
-2.6531 0.0000 7.6150
Rb U Pt S
2 1 2 4
Cartesian
1.7670 0.0000 0.5261
10.4339 0.0000 7.0890
-1.3265 0.0000 3.8075
3.3520 0.0000 3.5172
8.8489 0.0000 4.0978
0.8681 0.0000 5.2735
5.1989 0.0000 5.4357
7.0020 0.0000 2.1794
11.3327 0.0000 2.3416


K2CrRu PBE optimized geometry; formation energy from the elements = 1.34 eV per atom
1.0
-2.6183 2.6183 3.6938
2.6183 -2.6183 3.6938
2.6183 2.6183 -3.6938
K Cr Ru
2 1 1
Cartesian
0.0000 0.0000 0.0000
0.0000 2.6183 1.8469
2.6183 0.0000 1.8469
0.0000 0.0000 3.6938


Ca2ZrRh PBE optimized geometry; formation energy from the elements = -0.17 eV per atom
1.0
-1.8035 2.7530 5.2995
1.8035 -2.7530 5.2995
1.8035 2.7530 -5.2995
Ca Zr Rh
2 1 1
Cartesian
0.0000 0.0000 0.0000
0.0000 2.7530 2.1003
0.0000 0.0000 4.1538
1.8035 0.0000 2.3690


Li4Zn2Sn PBE optimized geometry; formation energy from the elements = -0.30 eV per atom
1.0
3.9193 -2.2463 0.0000
3.9193 2.2463 0.0000
-2.5292 0.0000 6.4335
Li Zn Sn
4 2 1
Cartesian
0.0257 0.0000 1.4105
0.0520 0.0000 4.2425
5.2574 0.0000 2.1910
5.2838 0.0000 5.0230
2.6239 0.0000 0.4229
2.6856 0.0000 6.0106
2.6547 0.0000 3.2167


BaCrRh2 PBE optimized geometry; formation energy from the elements = 0.62 eV per atom
1.0
-2.1115 2.1115 4.4733
2.1115 -2.1115 4.4733
2.1115 2.1115 -4.4733
Ba Cr Rh
1 1 2
Cartesian
0.0000 0.0000 0.0000
2.1115 0.0000 2.2367
0.0000 0.0000 4.4733
0.0000 2.1115 2.2367